# 1
DFT (GGA-PBE) results for crystalline Ce3RuI3 at its relaxed geometry.

Unit cell a=4.2151 b=9.2690 c=12.3898 alpha=92.95 beta=90.00 gamma=90.00
With the nearest neighbours (Å) after each atom.
Fractional positions:
1 Ce 0.2500 0.3108 0.6187  2 Ru 2.81
2 Ce 0.7500 0.6892 0.3813  2 Ru 2.81
3 Ce 0.2500 0.8854 0.1646  1 Ru 2.67
4 Ce 0.7500 0.1146 0.8354  1 Ru 2.67
5 Ce 0.7500 0.0955 0.3925  3 Ru 2.81-2.84
6 Ce 0.2500 0.9045 0.6075  3 Ru 2.81-2.84
7 I 0.2500 0.3749 0.8775  3 Ce 3.23
8 I 0.7500 0.6251 0.1225  3 Ce 3.23
9 I 0.7500 0.6070 0.6362  5 Ce 3.29-3.50
10 I 0.2500 0.3930 0.3638  5 Ce 3.29-3.50
11 I 0.7500 0.1425 0.1172  4 Ce 3.26-3.49
12 I 0.2500 0.8575 0.8828  4 Ce 3.26-3.49
13 Ru 0.2500 0.8891 0.3806  6 Ce 2.67-2.84
14 Ru 0.7500 0.1109 0.6194  6 Ce 2.67-2.84

Summary:
Formation energy without anion corrections (eV/atom): -0.94
Size of the total moment (μB/cell): 6.2
N(E_F) (states/eV/cell): 37.3

# 2
DFT (GGA-PBE) results for crystalline Sc8TlOs2 at its relaxed geometry.

Unit cell a=4.8751 b=6.5605 c=8.4253 alpha=112.90 beta=106.80 gamma=90.03
With the nearest neighbours (Å) after each atom.
Fractional positions:
1 Sc 0.9281 0.4364 0.4934  3 Os 2.70-2.81
2 Sc 0.9644 0.0175 0.5661  3 Os 2.83-2.98, 1 Tl 2.90, 3 Sc 3.03
3 Sc 0.1385 0.5366 0.9091  1 Tl 2.86, 4 Sc 3.00-3.14
4 Sc 0.6373 0.2687 0.9090  2 Os 2.76, 2 Sc 3.00-3.01
5 Sc 0.7517 0.9442 0.1398  1 Os 2.61
6 Sc 0.3076 0.3605 0.2521  3 Os 2.83-2.98, 1 Tl 2.90, 3 Sc 3.03
7 Sc 0.5211 0.7134 0.6784  1 Os 2.61
8 Sc 0.3437 0.8521 0.3249  3 Os 2.70-2.81
9 Os 0.4663 0.2800 0.5707  6 Sc 2.61-2.83
10 Os 0.8046 0.6184 0.2474  6 Sc 2.61-2.83
11 Tl 0.1366 0.9722 0.9091  9 Sc 2.86-3.12

Summary:
ΔE_f (eV per atom): -0.296
Size of the total moment (μB/cell): 0.0
N(E_F) (states/eV/cell): 9.1

# 3
DFT (GGA-PBE) results for crystalline Re2Ag2Pt at its relaxed geometry.

Unit cell a=7.9530 b=7.9530 c=2.7714 alpha=90.00 beta=90.00 gamma=90.00
With the nearest neighbours (Å) after each atom.
Fractional positions:
1 Pt 0.0000 0.0000 0.0000  2 Pt 2.77, 4 Ag 2.89
2 Pt 0.5000 0.5000 0.0000  2 Pt 2.77, 4 Ag 2.89
3 Re 0.8969 0.3969 0.5000  1 Re 2.32
4 Re 0.3969 0.1031 0.5000  1 Re 2.32
5 Re 0.1031 0.6031 0.5000  1 Re 2.32
6 Re 0.6031 0.8969 0.5000  1 Re 2.32
7 Ag 0.6895 0.1895 0.0000  6 Re 2.71-2.79, 2 Ag 2.77, 2 Pt 2.89
8 Ag 0.1895 0.3105 0.0000  6 Re 2.71-2.79, 2 Ag 2.77, 2 Pt 2.89
9 Ag 0.3105 0.8105 0.0000  6 Re 2.71-2.79, 2 Ag 2.77, 2 Pt 2.89
10 Ag 0.8105 0.6895 0.0000  6 Re 2.71-2.79, 2 Ag 2.77, 2 Pt 2.89

Summary:
ΔE_f (eV per atom): 0.957
Size of the total moment (μB/cell): 0.0
N(E_F) (states/eV/cell): 8.4

# 4
DFT (GGA-PBE) results for crystalline La5Zn3 at its relaxed geometry.

Unit cell a=9.0040 b=9.0040 c=6.8709 alpha=90.00 beta=90.00 gamma=120.00
With the nearest neighbours (Å) after each atom.
Fractional positions:
1 Zn 0.4031 0.0000 0.7500  7 La 3.16-3.24
2 Zn 0.4031 0.4031 0.2500  7 La 3.16-3.24
3 Zn 0.0000 0.4031 0.7500  7 La 3.16-3.24
4 Zn 0.0000 0.5969 0.2500  7 La 3.16-3.24
5 Zn 0.5969 0.5969 0.7500  7 La 3.16-3.24
6 Zn 0.5969 0.0000 0.2500  7 La 3.16-3.24
7 La 0.7597 0.7597 0.2500  3 Zn 3.16-3.21
8 La 0.0000 0.7597 0.7500  3 Zn 3.16-3.21
9 La 0.2403 0.0000 0.2500  3 Zn 3.16-3.21
10 La 0.2403 0.2403 0.7500  3 Zn 3.16-3.21
11 La 0.0000 0.2403 0.2500  3 Zn 3.16-3.21
12 La 0.3333 0.6667 0.0000  6 Zn 3.24, 2 La 3.44
13 La 0.7597 0.0000 0.7500  3 Zn 3.16-3.21
14 La 0.3333 0.6667 0.5000  6 Zn 3.24, 2 La 3.44
15 La 0.6667 0.3333 0.5000  6 Zn 3.24, 2 La 3.44
16 La 0.6667 0.3333 0.0000  6 Zn 3.24, 2 La 3.44

Summary:
ΔE_f (eV per atom): -0.173
Size of the total moment (μB/cell): 0.0
N(E_F) (states/eV/cell): 20.3